# 1
TlInBr4: relaxed, PBE.

As for the crystal system: monoclinic. The energy above the most stable polymorph in this dataset comes out at 0.0207 eV/atom.

The structure belongs to space group C2/c (No. 15); the cell edges are 10.2190, 15.3369 and 7.1001 Å and the angles 90.00°, 107.29° and 90.00°. Symmetry generates all atoms from Tl at (0.0000, 0.2480, 0.2500), In at (0.0000, 0.4316, 0.7500), Br at (0.1536, 0.4385, 0.1475) and Br at (0.1724, 0.3122, 0.6965).

# 2
Tl2InBr: relaxed, PBE.

As for the crystal system: orthorhombic. The energy above the most stable polymorph in this dataset comes out at 0.0078 eV/atom.

The structure belongs to space group Cmmm (No. 65); the cell edges are 7.3815, 8.9994 and 3.7292 Å and the angles 90.00°, 90.00° and 90.00°. Symmetry generates all atoms from Tl at (0.2500, 0.2500, 0.0000), In at (0.0000, 0.0000, 0.5000) and Br at (0.0000, 0.5000, 0.5000).

# 3
Tl4InBr7: relaxed, PBE.

As for the crystal system: monoclinic.

The structure belongs to space group C2/m (No. 12); the cell edges are 16.5972, 5.5507 and 10.9970 Å and the angles 90.00°, 106.67° and 90.00°. Symmetry generates all atoms from Tl at (0.0224, 0.0000, 0.2106), Tl at (0.2484, 0.0000, 0.8213), In at (0.0000, 0.5000, 0.5000), Br at (0.0000, 0.0000, 0.5000), Br at (0.1137, 0.5000, 0.7280), Br at (0.1209, 0.5000, 0.3790) and Br at (0.1511, 0.0000, 0.0370).

# 4
Tl3In2Br8: relaxed, PBE.

As for the crystal system: trigonal. The energy above the most stable polymorph in this dataset comes out at 0.0175 eV/atom.

The structure belongs to space group R-3m (No. 166, hexagonal axes); the cell edges are 8.0456, 8.0456 and 27.6765 Å and the angles 90.00°, 90.00° and 120.00°. Symmetry generates all atoms from Tl at (0.0000, 0.0000, 0.0000), Tl at (0.0000, 0.0000, 0.1956), In at (0.0000, 0.0000, 0.4044), Br at (0.0000, 0.0000, 0.3099) and Br at (0.0253, 0.5127, 0.7683).

# 5
Tl2InBr: relaxed, PBE.

As for the crystal system: orthorhombic. The energy above the most stable polymorph in this dataset comes out at 0.0450 eV/atom.

The structure belongs to space group Immm (No. 71); the cell edges are 4.6084, 5.0384 and 10.8258 Å and the angles 90.00°, 90.00° and 90.00°. Symmetry generates all atoms from Tl at (0.0000, 0.0000, 0.2445), In at (0.0000, 0.5000, 0.0000) and Br at (0.0000, 0.5000, 0.5000).

# 6
Tl2In2Br: relaxed, PBE.

As for the crystal system: tetragonal. The energy above the most stable polymorph in this dataset comes out at 0.0175 eV/atom.

The structure belongs to space group P4/mbm (No. 127); the cell edges are 8.8916, 8.8916 and 4.0346 Å and the angles 90.00°, 90.00° and 90.00°. Symmetry generates all atoms from Tl at (0.1789, 0.3211, 0.0000), In at (0.1247, 0.6247, 0.5000) and Br at (0.0000, 0.0000, 0.0000).

# 7
TlIn3Br: relaxed, PBE.

As for the crystal system: cubic. The energy above the most stable polymorph in this dataset comes out at 0.0000 eV/atom.

The structure belongs to space group Pm-3m (No. 221); the cell edges are 5.8460, 5.8460 and 5.8460 Å and the angles 90.00°, 90.00° and 90.00°. Symmetry generates all atoms from Tl at (0.0000, 0.0000, 0.0000), In at (0.0000, 0.0000, 0.5000) and Br at (0.5000, 0.5000, 0.5000).

# 8
Tl2InBr: relaxed, PBE.

As for the crystal system: cubic. The energy above the most stable polymorph in this dataset comes out at 0.1324 eV/atom.

The structure belongs to space group Fm-3m (No. 225); the cell edges are 7.9422, 7.9422 and 7.9422 Å and the angles 90.00°, 90.00° and 90.00°. Symmetry generates all atoms from Tl at (0.2500, 0.2500, 0.2500), In at (0.0000, 0.0000, 0.0000) and Br at (0.0000, 0.0000, 0.5000).

# 9
Tl2InBr4: relaxed, PBE.

As for the crystal system: tetragonal. The energy above the most stable polymorph in this dataset comes out at 0.0269 eV/atom.

The structure belongs to space group I4/mmm (No. 139); the cell edges are 5.6482, 5.6482 and 16.7147 Å and the angles 90.00°, 90.00° and 90.00°. Symmetry generates all atoms from Tl at (0.0000, 0.0000, 0.1405), In at (0.0000, 0.0000, 0.5000), Br at (0.0000, 0.0000, 0.3262) and Br at (0.0000, 0.5000, 0.0000).

# 10
Tl2InBr: relaxed, PBE.

As for the crystal system: cubic. The energy above the most stable polymorph in this dataset comes out at 0.1444 eV/atom.

The structure belongs to space group F-43m (No. 216); the cell edges are 7.9103, 7.9103 and 7.9103 Å and the angles 90.00°, 90.00° and 90.00°. Symmetry generates all atoms from Tl at (0.0000, 0.0000, 0.0000), Tl at (0.2500, 0.2500, 0.2500), In at (0.2500, 0.2500, 0.7500) and Br at (0.0000, 0.0000, 0.5000).

# 11
TlIn2Br4: relaxed, PBE.

As for the crystal system: monoclinic. The energy above the most stable polymorph in this dataset comes out at 0.0000 eV/atom.

The structure belongs to space group C2/m (No. 12); the cell edges are 14.0854, 10.5228 and 9.5103 Å and the angles 90.00°, 128.02° and 90.00°. Symmetry generates all atoms from Tl at (0.0758, 0.0000, 0.3542), In at (0.0000, 0.5000, 0.0000), In at (0.0000, 0.5000, 0.5000), In at (0.2500, 0.2500, 0.0000), Br at (0.0351, 0.3200, 0.3267), Br at (0.2041, 0.0000, 0.7565) and Br at (0.2426, 0.5000, 0.7703).

# 12
Tl2InBr2: relaxed, PBE.

As for the crystal system: tetragonal. The energy above the most stable polymorph in this dataset comes out at 0.0590 eV/atom.

The structure belongs to space group I4/mmm (No. 139); the cell edges are 4.4300, 4.4300 and 18.1338 Å and the angles 90.00°, 90.00° and 90.00°. Symmetry generates all atoms from Tl at (0.0000, 0.5000, 0.2500), In at (0.0000, 0.0000, 0.0000) and Br at (0.0000, 0.0000, 0.3991).

| no. | formation energy without anion corrections (eV/atom) |
| --- | --- |
| 1 | -0.823 |
| 2 | -0.259 |
| 3 | -0.822 |
| 4 | -0.758 |
| 5 | -0.222 |
| 6 | -0.128 |
| 7 | 0.162 |
| 8 | -0.135 |
| 9 | -0.764 |
| 10 | -0.123 |
| 11 | -0.737 |
| 12 | -0.436 |